(1)
Pm2CdPb4: relaxed, PBE.

Structure (POSCAR):
```
Pm2CdPb4
1.0
4.6015 -4.8502 0.0000
4.6015 4.8502 0.0000
0.0000 0.0000 4.8030
Pm Cd Pb
2 1 4
Cartesian
4.6015 2.4295 0.0000 Pm
4.6015 -2.4295 0.0000 Pm
0.0000 0.0000 2.4015 Cd
2.3007 2.4251 2.4015 Pb
2.3719 0.0000 0.0000 Pb
2.3007 -2.4251 2.4015 Pb
6.8310 0.0000 0.0000 Pb
```

Output
Crystal system = orthorhombic
Energy of formation from the pure elements = -0.34 eV/atom
E above lowest polymorph = 0 meV per atom
Space-group type = No. 65

(2)
CaTeBr: relaxed, PBE.

Structure (POSCAR):
```
CaTeBr
1.0
3.9979 0.0000 0.0000
-1.9989 3.4623 0.0000
0.0000 0.0000 8.0779
Ca Te Br
1 1 1
Cartesian
0.0000 0.0000 0.0000 Ca
1.9989 1.1541 2.2412 Te
0.0000 2.3082 6.3950 Br
```

Output
E_form (uncorrected) = -1280 meV per atom
Crystal system = trigonal
E above lowest polymorph = 137 meV per atom
Space-group type = No. 156

(3)
Pr5Y6: relaxed, PBE.

Structure (POSCAR):
```
Pr5Y6
1.0
-2.8359 4.1368 8.1546
2.8359 -4.1368 8.1546
2.8359 4.1368 -8.1546
Pr Y
5 6
Cartesian
0.0000 0.0000 0.0000 Pr
2.8359 0.0000 2.6462 Pr
0.0000 0.0000 4.9173 Pr
0.0000 0.0000 11.3918 Pr
0.0000 4.1368 5.5084 Pr
2.8359 -1.6989 5.9217 Y
2.8359 2.4297 0.0000 Y
0.0000 2.4379 2.2329 Y
2.8359 1.6989 5.9217 Y
0.0000 1.7071 8.1546 Y
0.0000 5.8357 2.2329 Y
```

Output
Crystal system = orthorhombic
Energy of formation from the pure elements = 0.11 eV/atom
E above lowest polymorph = 0 meV per atom
Space-group type = No. 71

(4)
GdTmSe: relaxed, PBE.

Structure (POSCAR):
```
GdTmSe
1.0
-1.7955 1.7955 6.1057
1.7955 -1.7955 6.1057
1.7955 1.7955 -6.1057
Gd Tm Se
1 1 1
Cartesian
0.0000 0.0000 0.0000 Gd
0.0000 0.0000 8.6800 Tm
0.0000 0.0000 4.2696 Se
```

Output
E_form (uncorrected) = -963 meV per atom
Crystal system = tetragonal
E above lowest polymorph = 152 meV per atom
Space-group type = No. 107